Material: DyYGa4
Method: DFT, GGA-PBE
State: optimized geometry

a b c (Å): 4.2536 5.8067 5.8067
angles (deg): 74.04 68.51 68.51
With the nearest neighbours (Å) after each atom.
Atoms (fractional coordinates):
Dy1 0.5605 0.4395 0.4395  10 Ga 3.11-3.13
Y1 0.4393 0.0607 0.0607  10 Ga 3.11-3.13
Ga1 0.1614 0.6403 0.0369  4 Ga 2.58-2.77
Ga2 0.8387 0.8586 0.4640  4 Ga 2.58-2.76
Ga3 0.8387 0.4640 0.8586  4 Ga 2.58-2.76
Ga4 0.1614 0.0369 0.6403  4 Ga 2.58-2.77

Results
density = 7.2 g/cm3
raw total energy = -27.02 eV/cell
DOS(E_F) = 0.5285 states/eV/atom
energy of formation = -0.641 eV per atom
energy above the most stable polymorph in this dataset = 16.0 meV per atom

---

Material: DyY2Ga
Method: DFT, GGA-PBE
State: optimized geometry

a b c (Å): 4.7197 4.7466 4.7466
angles (deg): 90.00 90.00 90.00
With the nearest neighbours (Å) after each atom.
Atoms (fractional coordinates):
Y1 0.0000 0.0000 0.5000  4 Dy 3.35, 4 Ga 3.35, 4 Y 3.36
Y2 0.0000 0.5000 0.0000  4 Dy 3.35, 4 Ga 3.35, 4 Y 3.36
Ga1 0.5000 0.0000 0.0000  8 Y 3.35, 4 Dy 3.36
Dy1 0.5000 0.5000 0.5000  8 Y 3.35, 4 Ga 3.36

Results
density = 6.4 g/cm3
raw total energy = -21.51 eV/cell
DOS(E_F) = 1.3945 states/eV/atom
energy of formation = -0.238 eV per atom
energy above the most stable polymorph in this dataset = 59.7 meV per atom